# TcBrNO2, PBEsol geometry, DFT SCAN
# calculated total energy	-15.325	eV per atom
data_TcBrNO2
_symmetry_space_group_name_H-M 'P 4/m m m'
_symmetry_Int_Tables_number 123
_symmetry_space_group_name_Hall '-P 4 2'
_cell_length_a 3.7179
_cell_length_b 3.7179
_cell_length_c 4.2583
_cell_angle_alpha 90.00
_cell_angle_beta 90.00
_cell_angle_gamma 90.00
loop_
_atom_site_label
_atom_site_fract_x
_atom_site_fract_y
_atom_site_fract_z
_atom_site_occupancy
Tc1 0.0000 0.0000 0.0000 1
Br1 0.5000 0.5000 0.5000 1
N1 0.0000 0.0000 0.5000 1
O1 0.0000 0.5000 0.0000 1

# BaCd2Pt, PBEsol geometry, DFT SCAN
# E_form	-345	meV/atom
# calculated total energy	-42.988	eV per atom
data_BaCd2Pt
_symmetry_space_group_name_H-M 'I m m m'
_symmetry_Int_Tables_number 71
_symmetry_space_group_name_Hall '-I 2 2'
_cell_length_a 3.5508
_cell_length_b 5.2852
_cell_length_c 10.7351
_cell_angle_alpha 90.00
_cell_angle_beta 90.00
_cell_angle_gamma 90.00
loop_
_atom_site_label
_atom_site_fract_x
_atom_site_fract_y
_atom_site_fract_z
_atom_site_occupancy
Ba1 0.0000 0.0000 0.0000 1
Cd1 0.0000 0.5000 0.2039 1
Pt1 0.0000 0.0000 0.5000 1

# CaGaRh2Cl, PBEsol geometry, DFT SCAN
# calculated total energy	-19.508	eV per atom
data_CaGaRh2Cl
_symmetry_space_group_name_H-M 'P 4/m m m'
_symmetry_Int_Tables_number 123
_symmetry_space_group_name_Hall '-P 4 2'
_cell_length_a 4.8090
_cell_length_b 4.8090
_cell_length_c 4.9112
_cell_angle_alpha 90.00
_cell_angle_beta 90.00
_cell_angle_gamma 90.00
loop_
_atom_site_label
_atom_site_fract_x
_atom_site_fract_y
_atom_site_fract_z
_atom_site_occupancy
Ca1 0.0000 0.0000 0.0000 1
Ga1 0.5000 0.5000 0.5000 1
Rh1 0.0000 0.5000 0.0000 1
Cl1 0.0000 0.0000 0.5000 1

# ScBPb3, PBEsol geometry, DFT SCAN
# E_form	644	meV/atom
# calculated total energy	-49.158	eV per atom
data_ScBPb3
_symmetry_space_group_name_H-M 'P m -3 m'
_symmetry_Int_Tables_number 221
_symmetry_space_group_name_Hall '-P 4 2 3'
_cell_length_a 4.9825
_cell_length_b 4.9825
_cell_length_c 4.9825
_cell_angle_alpha 90.00
_cell_angle_beta 90.00
_cell_angle_gamma 90.00
loop_
_atom_site_label
_atom_site_fract_x
_atom_site_fract_y
_atom_site_fract_z
_atom_site_occupancy
Sc1 0.0000 0.0000 0.0000 1
B1 0.5000 0.5000 0.5000 1
Pb1 0.0000 0.5000 0.5000 1

# LaCd2Rh, PBEsol geometry, DFT SCAN
# E_form	-237	meV/atom
# calculated total energy	-34.664	eV per atom
data_LaCd2Rh
_symmetry_space_group_name_H-M 'P 4/m m m'
_symmetry_Int_Tables_number 123
_symmetry_space_group_name_Hall '-P 4 2'
_cell_length_a 3.2882
_cell_length_b 3.2882
_cell_length_c 7.7613
_cell_angle_alpha 90.00
_cell_angle_beta 90.00
_cell_angle_gamma 90.00
loop_
_atom_site_label
_atom_site_fract_x
_atom_site_fract_y
_atom_site_fract_z
_atom_site_occupancy
La1 0.0000 0.0000 0.0000 1
Cd1 0.5000 0.5000 0.3068 1
Rh1 0.0000 0.0000 0.5000 1

# Y4Cu, PBEsol geometry, DFT SCAN
# E_form	349	meV/atom
# calculated total energy	-24.965	eV per atom
data_Y4Cu
_symmetry_space_group_name_H-M 'I m -3 m'
_symmetry_Int_Tables_number 229
_symmetry_space_group_name_Hall '-I 4 2 3'
_cell_length_a 6.6252
_cell_length_b 6.6252
_cell_length_c 6.6252
_cell_angle_alpha 90.00
_cell_angle_beta 90.00
_cell_angle_gamma 90.00
loop_
_atom_site_label
_atom_site_fract_x
_atom_site_fract_y
_atom_site_fract_z
_atom_site_occupancy
Y1 0.2500 0.2500 0.2500 1
Cu1 0.0000 0.0000 0.0000 1

# GaPdF2, PBEsol geometry, DFT SCAN
# calculated total energy	-14.940	eV per atom
data_GaPdF2
_symmetry_space_group_name_H-M 'F m -3 m'
_symmetry_Int_Tables_number 225
_symmetry_space_group_name_Hall '-F 4 2 3'
_cell_length_a 5.8116
_cell_length_b 5.8116
_cell_length_c 5.8116
_cell_angle_alpha 90.00
_cell_angle_beta 90.00
_cell_angle_gamma 90.00
loop_
_atom_site_label
_atom_site_fract_x
_atom_site_fract_y
_atom_site_fract_z
_atom_site_occupancy
Ga1 0.0000 0.0000 0.0000 1
Pd1 0.0000 0.0000 0.5000 1
F1 0.2500 0.2500 0.2500 1

# SiGeOs2, PBEsol geometry, DFT SCAN
# calculated total energy	-43.351	eV per atom
data_SiGeOs2
_symmetry_space_group_name_H-M 'F m -3 m'
_symmetry_Int_Tables_number 225
_symmetry_space_group_name_Hall '-F 4 2 3'
_cell_length_a 5.9672
_cell_length_b 5.9672
_cell_length_c 5.9672
_cell_angle_alpha 90.00
_cell_angle_beta 90.00
_cell_angle_gamma 90.00
loop_
_atom_site_label
_atom_site_fract_x
_atom_site_fract_y
_atom_site_fract_z
_atom_site_occupancy
Si1 0.0000 0.0000 0.0000 1
Ge1 0.0000 0.0000 0.5000 1
Os1 0.2500 0.2500 0.2500 1

# YTlSe2, PBEsol geometry, DFT SCAN
# calculated total energy	-36.115	eV per atom
data_YTlSe2
_symmetry_space_group_name_H-M 'R 3 m'
_symmetry_Int_Tables_number 160
_symmetry_space_group_name_Hall 'R 3 -2"'
_cell_length_a 4.1414
_cell_length_b 4.1414
_cell_length_c 23.3073
_cell_angle_alpha 90.00
_cell_angle_beta 90.00
_cell_angle_gamma 120.00
loop_
_atom_site_label
_atom_site_fract_x
_atom_site_fract_y
_atom_site_fract_z
_atom_site_occupancy
Y1 0.0000 0.0000 0.0000 1
Tl1 0.0000 0.0000 0.7602 1
Se1 0.0000 0.0000 0.2771 1
Se2 0.0000 0.0000 0.4854 1

# ZnNi2Rh, PBEsol geometry, DFT SCAN
# E_form	-88	meV/atom
# calculated total energy	-19.996	eV per atom
data_ZnNi2Rh
_symmetry_space_group_name_H-M 'P m m m'
_symmetry_Int_Tables_number 47
_cell_length_a 2.5877
_cell_length_b 3.5801
_cell_length_c 5.1064
_cell_angle_alpha 90.00
_cell_angle_beta 90.00
_cell_angle_gamma 90.00
loop_
_symmetry_equiv_pos_as_xyz
'x,y,z'
'-x,-y,-z'
'-x,-y,z'
'x,y,-z'
'x,-y,-z'
'-x,y,z'
'-x,y,-z'
'x,-y,z'
loop_
_atom_site_label
_atom_site_fract_x
_atom_site_fract_y
_atom_site_fract_z
_atom_site_occupancy
Zn1 0.0000 0.0000 0.0000 1
Ni1 0.5000 0.5000 0.2514 1
Rh1 0.0000 0.0000 0.5000 1

# TmBi2ClO4, PBEsol geometry, DFT SCAN
# calculated total energy	-32.386	eV per atom
data_TmBi2ClO4
_symmetry_space_group_name_H-M 'P 4/m m m'
_symmetry_Int_Tables_number 123
_symmetry_space_group_name_Hall '-P 4 2'
_cell_length_a 3.8202
_cell_length_b 3.8202
_cell_length_c 8.7948
_cell_angle_alpha 90.00
_cell_angle_beta 90.00
_cell_angle_gamma 90.00
loop_
_atom_site_label
_atom_site_fract_x
_atom_site_fract_y
_atom_site_fract_z
_atom_site_occupancy
Tm1 0.0000 0.0000 0.0000 1
Bi1 0.5000 0.5000 0.2812 1
Cl1 0.0000 0.0000 0.5000 1
O1 0.0000 0.5000 0.1517 1

# ZnCo4, PBEsol geometry, DFT SCAN
# E_form	40	meV/atom
# calculated total energy	-16.506	eV per atom
data_ZnCo4
_symmetry_space_group_name_H-M 'I 4/m'
_symmetry_Int_Tables_number 87
_symmetry_space_group_name_Hall '-I 4'
_cell_length_a 5.5286
_cell_length_b 5.5286
_cell_length_c 3.5275
_cell_angle_alpha 90.00
_cell_angle_beta 90.00
_cell_angle_gamma 90.00
loop_
_atom_site_label
_atom_site_fract_x
_atom_site_fract_y
_atom_site_fract_z
_atom_site_occupancy
Zn1 0.0000 0.0000 0.0000 1
Co1 0.0918 0.6976 0.5000 1

# Pb2WSe, PBEsol geometry, DFT SCAN
# calculated total energy	-59.704	eV per atom
data_Pb2WSe
_symmetry_space_group_name_H-M 'I m m m'
_symmetry_Int_Tables_number 71
_symmetry_space_group_name_Hall '-I 2 2'
_cell_length_a 3.1205
_cell_length_b 4.0859
_cell_length_c 15.3778
_cell_angle_alpha 90.00
_cell_angle_beta 90.00
_cell_angle_gamma 90.00
loop_
_atom_site_label
_atom_site_fract_x
_atom_site_fract_y
_atom_site_fract_z
_atom_site_occupancy
Pb1 0.0000 0.0000 0.1716 1
W1 0.0000 0.5000 0.5000 1
Se1 0.0000 0.5000 0.0000 1

# FePtBr, PBEsol geometry, DFT SCAN
# calculated total energy	-35.675	eV per atom
data_FePtBr
_symmetry_space_group_name_H-M 'I 4 m m'
_symmetry_Int_Tables_number 107
_symmetry_space_group_name_Hall 'I 4 -2'
_cell_length_a 2.9723
_cell_length_b 2.9723
_cell_length_c 11.2667
_cell_angle_alpha 90.00
_cell_angle_beta 90.00
_cell_angle_gamma 90.00
loop_
_atom_site_label
_atom_site_fract_x
_atom_site_fract_y
_atom_site_fract_z
_atom_site_occupancy
Fe1 0.0000 0.0000 0.0000 1
Pt1 0.0000 0.0000 0.6368 1
Br1 0.0000 0.0000 0.3507 1

# Ba2Mg, PBEsol geometry, DFT SCAN
# E_form	22	meV/atom
# calculated total energy	-28.003	eV per atom
data_Ba2Mg
_symmetry_space_group_name_H-M 'P 63/m m c'
_symmetry_Int_Tables_number 194
_symmetry_space_group_name_Hall '-P 6c 2c'
_cell_length_a 6.2934
_cell_length_b 6.2934
_cell_length_c 7.8475
_cell_angle_alpha 90.00
_cell_angle_beta 90.00
_cell_angle_gamma 120.00
loop_
_atom_site_label
_atom_site_fract_x
_atom_site_fract_y
_atom_site_fract_z
_atom_site_occupancy
Ba1 0.0000 0.0000 0.0000 1
Ba2 0.3333 0.6667 0.2500 1
Mg1 0.3333 0.6667 0.7500 1

# TaBeNi6, PBEsol geometry, DFT SCAN
# E_form	-274	meV/atom
# calculated total energy	-21.271	eV per atom
data_TaBeNi6
_symmetry_space_group_name_H-M 'C m m m'
_symmetry_Int_Tables_number 65
_symmetry_space_group_name_Hall '-C 2 2'
_cell_length_a 6.9529
_cell_length_b 10.0001
_cell_length_c 9.9765
_cell_angle_alpha 90.00
_cell_angle_beta 90.00
_cell_angle_gamma 90.00
loop_
_atom_site_label
_atom_site_fract_x
_atom_site_fract_y
_atom_site_fract_z
_atom_site_occupancy
Ta1 0.0000 0.0000 0.2421 1
Ta2 0.0000 0.2432 0.5000 1
Be1 0.0000 0.2356 0.0000 1
Be2 0.0000 0.5000 0.2374 1
Ni1 0.0000 0.0000 0.0000 1
Ni2 0.0000 0.0000 0.5000 1
Ni3 0.0000 0.2511 0.2419 1
Ni4 0.0000 0.5000 0.0000 1
Ni5 0.0000 0.5000 0.5000 1
Ni6 0.2403 0.3728 0.1203 1
Ni7 0.2399 0.3777 0.3697 1

# CaBe3Ni, PBEsol geometry, DFT SCAN
# E_form	18	meV/atom
# calculated total energy	-7.762	eV per atom
data_CaBe3Ni
_symmetry_space_group_name_H-M 'P m -3 m'
_symmetry_Int_Tables_number 221
_symmetry_space_group_name_Hall '-P 4 2 3'
_cell_length_a 4.1078
_cell_length_b 4.1078
_cell_length_c 4.1078
_cell_angle_alpha 90.00
_cell_angle_beta 90.00
_cell_angle_gamma 90.00
loop_
_atom_site_label
_atom_site_fract_x
_atom_site_fract_y
_atom_site_fract_z
_atom_site_occupancy
Ca1 0.0000 0.0000 0.0000 1
Be1 0.0000 0.5000 0.5000 1
Ni1 0.5000 0.5000 0.5000 1

# Zr2HgPt, PBEsol geometry, DFT SCAN
# E_form	-721	meV/atom
# calculated total energy	-50.660	eV per atom
data_Zr2HgPt
_symmetry_space_group_name_H-M 'P m m m'
_symmetry_Int_Tables_number 47
_cell_length_a 2.9205
_cell_length_b 3.9935
_cell_length_c 6.5541
_cell_angle_alpha 90.00
_cell_angle_beta 90.00
_cell_angle_gamma 90.00
loop_
_symmetry_equiv_pos_as_xyz
'x,y,z'
'-x,-y,-z'
'-x,-y,z'
'x,y,-z'
'x,-y,-z'
'-x,y,z'
'-x,y,-z'
'x,-y,z'
loop_
_atom_site_label
_atom_site_fract_x
_atom_site_fract_y
_atom_site_fract_z
_atom_site_occupancy
Zr1 0.0000 0.0000 0.2340 1
Hg1 0.5000 0.5000 0.5000 1
Pt1 0.5000 0.5000 0.0000 1

# Sr3P14, PBEsol geometry, DFT SCAN
# E_form	-535	meV/atom
# calculated total energy	-13.030	eV per atom
data_Sr3P14
_symmetry_space_group_name_H-M 'P 1 21/c 1'
_symmetry_Int_Tables_number 14
_cell_length_a 6.2580
_cell_length_b 12.6005
_cell_length_c 11.3579
_cell_angle_alpha 90.00
_cell_angle_beta 123.25
_cell_angle_gamma 90.00
loop_
_symmetry_equiv_pos_as_xyz
'x,y,z'
'-x,-y,-z'
'-x,y+1/2,-z+1/2'
'x,-y+1/2,z+1/2'
loop_
_atom_site_label
_atom_site_fract_x
_atom_site_fract_y
_atom_site_fract_z
_atom_site_occupancy
Sr1 0.0000 0.0000 0.0000 1
Sr2 0.1759 0.1578 0.3766 1
P1 0.0347 0.1458 0.6447 1
P2 0.2523 0.2238 0.1349 1
P3 0.2765 0.0009 0.6867 1
P4 0.3051 0.0816 0.8694 1
P5 0.3603 0.7135 0.7264 1
P6 0.3661 0.6846 0.5372 1
P7 0.4045 0.5562 0.8225 1

# AgSeBr2, PBEsol geometry, DFT SCAN
# energy above the lowest structure with this stoichiometry	521	meV/atom
# calculated total energy	-22.037	eV per atom
data_AgSeBr2
_symmetry_space_group_name_H-M 'F -4 3 m'
_symmetry_Int_Tables_number 216
_symmetry_space_group_name_Hall 'F -4 2 3'
_cell_length_a 6.9889
_cell_length_b 6.9889
_cell_length_c 6.9889
_cell_angle_alpha 90.00
_cell_angle_beta 90.00
_cell_angle_gamma 90.00
loop_
_atom_site_label
_atom_site_fract_x
_atom_site_fract_y
_atom_site_fract_z
_atom_site_occupancy
Ag1 0.0000 0.0000 0.0000 1
Se1 0.2500 0.2500 0.7500 1
Br1 0.0000 0.0000 0.5000 1
Br2 0.2500 0.2500 0.2500 1

# LaFeMo, PBEsol geometry, DFT SCAN
# E_form	1833	meV/atom
# energy above the lowest structure with this stoichiometry	1406	meV/atom
# calculated total energy	-30.207	eV per atom
data_LaFeMo
_symmetry_space_group_name_H-M 'F -4 3 m'
_symmetry_Int_Tables_number 216
_symmetry_space_group_name_Hall 'F -4 2 3'
_cell_length_a 5.9958
_cell_length_b 5.9958
_cell_length_c 5.9958
_cell_angle_alpha 90.00
_cell_angle_beta 90.00
_cell_angle_gamma 90.00
loop_
_atom_site_label
_atom_site_fract_x
_atom_site_fract_y
_atom_site_fract_z
_atom_site_occupancy
La1 0.0000 0.0000 0.0000 1
Fe1 0.2500 0.2500 0.7500 1
Mo1 0.2500 0.2500 0.2500 1

# CsNb4Br11, PBEsol geometry, DFT SCAN
# calculated total energy	-25.175	eV per atom
data_CsNb4Br11
_symmetry_space_group_name_H-M 'P m m a'
_symmetry_Int_Tables_number 51
_cell_length_a 16.7719
_cell_length_b 7.2643
_cell_length_c 7.0746
_cell_angle_alpha 90.00
_cell_angle_beta 90.00
_cell_angle_gamma 90.00
loop_
_symmetry_equiv_pos_as_xyz
'x,y,z'
'-x,-y,-z'
'-x+1/2,-y,z'
'x+1/2,y,-z'
'x+1/2,-y,-z'
'-x+1/2,y,z'
'-x,y,-z'
'x,-y,z'
loop_
_atom_site_label
_atom_site_fract_x
_atom_site_fract_y
_atom_site_fract_z
_atom_site_occupancy
Cs1 0.2500 0.0000 0.0011 1
Nb1 0.0000 0.2909 0.5000 1
Nb2 0.1397 0.5000 0.6225 1
Br1 0.0770 0.2450 0.8198 1
Br2 0.0860 0.0000 0.3684 1
Br3 0.0872 0.5000 0.2832 1
Br4 0.2500 0.2622 0.4886 1
Br5 0.2500 0.5000 0.9114 1

# Li2Fe2CoO6, PBEsol geometry, DFT SCAN
# calculated total energy	-10.465	eV per atom
data_Li2Fe2CoO6
_symmetry_space_group_name_H-M 'C 1 2/m 1'
_symmetry_Int_Tables_number 12
_cell_length_a 12.7094
_cell_length_b 2.7776
_cell_length_c 5.6961
_cell_angle_alpha 90.00
_cell_angle_beta 106.87
_cell_angle_gamma 90.00
loop_
_symmetry_equiv_pos_as_xyz
'x,y,z'
'-x,-y,-z'
'-x,y,-z'
'x,-y,z'
'x+1/2,y+1/2,z'
'-x+1/2,-y+1/2,-z'
'-x+1/2,y+1/2,-z'
'x+1/2,-y+1/2,z'
loop_
_atom_site_label
_atom_site_fract_x
_atom_site_fract_y
_atom_site_fract_z
_atom_site_occupancy
Li1 0.1441 0.0000 0.3030 1
Fe1 0.1668 0.0000 0.8391 1
Co1 0.0000 0.5000 0.5000 1
O1 0.0146 0.0000 0.7273 1
O2 0.1566 0.5000 0.6014 1
O3 0.1767 0.5000 0.0728 1

# BeAl2Cd, PBEsol geometry, DFT SCAN
# E_form	286	meV/atom
# energy above the lowest structure with this stoichiometry	32	meV/atom
# calculated total energy	-12.282	eV per atom
data_BeAl2Cd
_symmetry_space_group_name_H-M 'I 4/m m m'
_symmetry_Int_Tables_number 139
_symmetry_space_group_name_Hall '-I 4 2'
_cell_length_a 3.9668
_cell_length_b 3.9668
_cell_length_c 8.0422
_cell_angle_alpha 90.00
_cell_angle_beta 90.00
_cell_angle_gamma 90.00
loop_
_atom_site_label
_atom_site_fract_x
_atom_site_fract_y
_atom_site_fract_z
_atom_site_occupancy
Be1 0.0000 0.0000 0.0000 1
Al1 0.0000 0.5000 0.2500 1
Cd1 0.0000 0.0000 0.5000 1